[1]
Crystalline GdEr2Al7Ag2 at its relaxed geometry, computed with PBE.

a b c (Å): 9.333 9.333 9.333
angles (deg): 34.50 34.50 34.50
Fractional coordinates of all 12 atoms:
Ag: 0.336 0.336 0.336
Ag: 0.664 0.664 0.664
Al: 0.588 0.588 0.076
Al: 0.924 0.412 0.412
Al: 0.412 0.924 0.412
Al: 0.500 0.500 0.500
Al: 0.588 0.076 0.588
Al: 0.076 0.588 0.588
Al: 0.412 0.412 0.924
Er: 0.142 0.142 0.142
Er: 0.858 0.858 0.858
Gd: 0.000 0.000 0.000

Output
total magnetic moment	0.0	μB/f.u.
uncorrected energy	-4.26	eV per atom
space group	R-3m

***

[2]
Crystalline GdSnNO at its relaxed geometry, computed with PBE.

a b c (Å): 4.394 4.394 7.490
angles (deg): 90.00 90.00 90.00
Fractional coordinates of all 8 atoms:
Gd: 0.750 0.250 0.500
Gd: 0.250 0.750 0.500
N: 0.750 0.750 0.400
N: 0.250 0.250 0.600
O: 0.750 0.250 0.000
O: 0.250 0.750 0.000
Sn: 0.250 0.250 0.112
Sn: 0.750 0.750 0.888

Output
total magnetic moment	0.0	μB/f.u.
uncorrected energy	-6.39	eV per atom
space group	P4/nmm
relative energy among the computed polymorphs	527	meV/atom

***

[3]
Crystalline Ag2ICl at its relaxed geometry, computed with PBE.

a b c (Å): 4.505 4.505 7.297
angles (deg): 90.00 90.00 120.00
Fractional coordinates of all 4 atoms:
Ag: 0.000 0.000 0.147
Ag: 0.333 0.667 0.609
Cl: 0.000 0.000 0.507
I: 0.333 0.667 0.997

Output
uncorrected energy	-2.61	eV per atom
space group	P3m1
relative energy among the computed polymorphs	11	meV/atom